Ba2CoO | PBE with a Hubbard U | relaxed

Results
uncorrected energy = -33.931 eV for the cell shown

```
Ba2CoO
1.0
7.569 0.000 0.000
0.000 7.569 0.000
3.784 3.784 4.761
Co Ba O
2 4 2
Direct
0.000 0.000 0.000
0.750 0.250 0.500
0.540 0.125 0.250
0.210 0.625 0.250
0.375 0.460 0.750
0.875 0.790 0.750
0.500 0.500 0.000
0.250 0.750 0.500
```